1.
V5Si4Ge GGA-PBE relaxed; VASP energy = -7.2155 eV/atom
1.0
-3.820 3.820 2.476
3.820 -3.820 2.476
3.820 3.820 -2.476
V Si Ge
5 4 1
Direct
0.000 0.000 0.000 V
0.015 0.796 0.410 V
0.385 0.604 0.590 V
0.604 0.015 0.219 V
0.796 0.385 0.781 V
0.103 0.483 0.179 Si
0.305 0.925 0.821 Si
0.483 0.305 0.380 Si
0.925 0.103 0.620 Si
0.505 0.505 0.000 Ge


2.
V2SiGe2 GGA-PBE relaxed; VASP energy = -6.6747 eV/atom
1.0
6.459 0.000 0.000
0.000 6.459 0.000
0.000 0.000 3.578
V Si Ge
4 2 4
Direct
0.157 0.343 0.000 V
0.343 0.843 0.000 V
0.657 0.157 0.000 V
0.843 0.657 0.000 V
0.000 0.000 0.000 Si
0.500 0.500 0.000 Si
0.146 0.646 0.500 Ge
0.354 0.146 0.500 Ge
0.646 0.854 0.500 Ge
0.854 0.354 0.500 Ge


3.
V2SiGe GGA-PBE relaxed; VASP energy = -6.9180 eV/atom
1.0
-3.320 3.320 2.699
3.320 -3.320 2.699
3.320 3.320 -2.699
V Si Ge
4 2 2
Direct
0.117 0.625 0.992 V
0.375 0.367 0.492 V
0.633 0.125 0.008 V
0.875 0.883 0.508 V
0.000 0.000 0.000 Si
0.750 0.250 0.500 Si
0.250 0.750 0.500 Ge
0.500 0.500 0.000 Ge


4.
V8Si3Ge2 GGA-PBE relaxed; VASP energy = -7.5837 eV/atom
1.0
6.139 -3.475 0.000
6.139 3.475 0.000
-0.001 0.000 4.434
V Si Ge
8 3 2
Direct
0.102 0.102 0.000 V
0.219 0.577 0.500 V
0.321 0.321 0.999 V
0.423 0.781 0.500 V
0.577 0.219 0.500 V
0.679 0.679 0.001 V
0.781 0.423 0.500 V
0.898 0.898 0.000 V
0.000 0.000 0.500 Si
0.318 0.682 0.000 Si
0.682 0.318 0.000 Si
0.213 0.213 0.499 Ge
0.787 0.787 0.501 Ge


5.
V12Si2Ge5 GGA-PBE relaxed; VASP energy = -7.4407 eV/atom
1.0
6.415 -3.161 0.000
6.415 3.161 0.000
-0.299 0.000 7.299
V Si Ge
12 2 5
Direct
0.031 0.031 0.180 V
0.041 0.606 0.878 V
0.151 0.593 0.452 V
0.394 0.959 0.122 V
0.407 0.849 0.548 V
0.463 0.463 0.693 V
0.537 0.537 0.307 V
0.593 0.151 0.452 V
0.606 0.041 0.878 V
0.849 0.407 0.548 V
0.959 0.394 0.122 V
0.969 0.969 0.820 V
0.317 0.683 0.000 Si
0.683 0.317 0.000 Si
0.000 0.000 0.500 Ge
0.258 0.258 0.657 Ge
0.340 0.340 0.159 Ge
0.660 0.660 0.841 Ge
0.742 0.742 0.343 Ge


6.
V10Si3Ge3 GGA-PBE relaxed; VASP energy = -8.0434 eV/atom; E above lowest polymorph = 0.0 meV per atom
1.0
0.000 6.680 6.706
2.407 0.000 6.706
2.407 6.680 0.000
V Si Ge
10 3 3
Direct
0.098 0.902 0.098 V
0.246 0.441 0.559 V
0.402 0.752 0.248 V
0.423 0.927 0.577 V
0.441 0.246 0.754 V
0.596 0.942 0.058 V
0.752 0.402 0.598 V
0.902 0.098 0.902 V
0.927 0.423 0.073 V
0.942 0.596 0.404 V
0.007 0.338 0.662 Si
0.338 0.007 0.993 Si
0.839 0.839 0.161 Si
0.423 0.423 0.077 Ge
0.507 0.507 0.493 Ge
0.923 0.923 0.577 Ge


7.
V12SiGe3 GGA-PBE relaxed; VASP energy = -8.4109 eV/atom
1.0
4.749 0.000 0.000
0.000 4.752 0.000
0.000 0.000 9.467
V Si Ge
12 1 3
Direct
0.000 0.000 0.122 V
0.000 0.000 0.375 V
0.000 0.000 0.625 V
0.000 0.000 0.878 V
0.251 0.500 0.500 V
0.258 0.500 0.000 V
0.500 0.248 0.246 V
0.500 0.248 0.754 V
0.500 0.752 0.246 V
0.500 0.752 0.754 V
0.742 0.500 0.000 V
0.749 0.500 0.500 V
0.500 0.000 0.000 Si
0.000 0.500 0.250 Ge
0.000 0.500 0.750 Ge
0.500 0.000 0.500 Ge


8.
VSi3Ge GGA-PBE relaxed; VASP energy = -5.4043 eV/atom; E above lowest polymorph = 0.0 meV per atom
1.0
4.600 0.000 0.000
0.000 4.600 0.000
0.000 0.000 4.600
V Si Ge
1 3 1
Direct
0.000 0.000 0.000 V
0.000 0.000 0.500 Si
0.000 0.500 0.000 Si
0.500 0.000 0.000 Si
0.500 0.500 0.500 Ge


9.
V2Si2Ge GGA-PBE relaxed; VASP energy = -6.9279 eV/atom; E above lowest polymorph = 12.0 meV per atom
1.0
-1.684 1.684 6.385
1.684 -1.684 6.385
1.684 1.684 -6.385
V Si Ge
2 2 1
Direct
0.102 0.102 0.000 V
0.898 0.898 0.000 V
0.250 0.750 0.500 Si
0.750 0.250 0.500 Si
0.500 0.500 0.000 Ge


10.
V8Si2Ge3 GGA-PBE relaxed; VASP energy = -7.4765 eV/atom
1.0
3.629 -6.036 0.000
3.629 6.036 0.000
0.000 0.000 4.386
V Si Ge
8 2 3
Direct
0.104 0.896 0.000 V
0.191 0.420 0.500 V
0.320 0.680 0.000 V
0.420 0.191 0.500 V
0.580 0.809 0.500 V
0.680 0.320 0.000 V
0.809 0.580 0.500 V
0.896 0.104 0.000 V
0.214 0.786 0.500 Si
0.786 0.214 0.500 Si
0.000 0.000 0.500 Ge
0.313 0.313 0.000 Ge
0.687 0.687 0.000 Ge


11.
V3SiGe GGA-PBE relaxed; VASP energy = -6.8381 eV/atom; E above lowest polymorph = 778.4 meV per atom
1.0
4.396 0.000 0.000
0.000 4.396 0.000
0.000 0.000 4.396
V Si Ge
3 1 1
Direct
0.000 0.000 0.500 V
0.000 0.500 0.000 V
0.500 0.000 0.000 V
0.000 0.000 0.000 Si
0.500 0.500 0.500 Ge


12.
SiGeW GGA-PBE relaxed; VASP energy = -7.2716 eV/atom; E above lowest polymorph = 0.0 meV per atom
1.0
2.181 1.259 6.094
-2.181 1.259 6.094
0.000 -2.518 6.094
Si Ge W
2 2 2
Direct
0.132 0.132 0.132 Si
0.868 0.868 0.868 Si
0.412 0.412 0.412 Ge
0.588 0.588 0.588 Ge
0.271 0.271 0.271 W
0.729 0.729 0.729 W


| no. | E_form (uncorrected) (kJ/mol of atoms) | magnetization (μB per cell) |
| --- | --- | --- |
| 1 | -2.44 | 0.00 |
| 2 | -9.24 | 0.00 |
| 3 | 14.61 | 0.00 |
| 4 | -1.00 | 0.00 |
| 5 | 10.06 | 0.00 |
| 6 | -44.55 | 0.00 |
| 7 | -35.44 | 0.00 |
| 8 | 57.57 | 0.00 |
| 9 | -18.12 | 0.01 |
| 10 | 3.36 | 0.00 |
| 11 | 61.86 | 3.50 |
| 12 | 37.91 | 0.00 |